No. 1
Tb4HoSc3Se8 | the Alexandria database | PBE | optimized geometry; ΔE_f (raw) = -162.7 kJ per mole of atoms
1.0
4.005 2.312 6.575
-4.005 2.312 6.575
0.000 -4.625 6.575
Tb Ho Sc Se
4 1 3 8
Cartesian
0.000 0.000 0.000
-2.003 -1.156 6.575
-2.003 1.156 13.151
0.000 2.312 6.575
0.000 0.000 9.863
-4.005 0.000 9.863
-2.003 1.156 3.288
2.003 1.156 3.288
-2.040 -1.178 11.422
0.000 0.000 4.817
0.000 -2.355 8.304
-2.040 1.178 8.304
2.040 -1.178 11.422
0.000 2.355 11.422
0.000 0.000 14.909
2.040 1.178 8.304


No. 2
Tb2Ho3ScSe6 | the Alexandria database | PBE | optimized geometry; ΔE_f (raw) = -165.0 kJ per mole of atoms
1.0
8.797 -2.017 0.000
8.797 2.017 0.000
-1.859 0.000 7.895
Tb Ho Sc Se
2 3 1 6
Cartesian
2.319 0.000 2.633
13.415 0.000 5.263
1.441 0.000 6.594
7.867 0.000 3.948
14.293 0.000 1.302
8.797 0.000 0.000
-1.373 0.000 5.996
5.118 0.000 3.274
4.240 0.000 7.279
11.494 0.000 0.617
10.616 0.000 4.622
17.107 0.000 1.899


No. 3
Tb3Ho3ScSe8 | the Alexandria database | PBE | optimized geometry; ΔE_f (raw) = -174.6 kJ per mole of atoms
1.0
4.046 2.336 6.619
-4.046 2.336 6.619
0.000 -4.672 6.619
Tb Ho Sc Se
3 3 1 8
Cartesian
-2.023 -1.168 6.619
-2.023 1.168 13.239
0.000 2.336 6.619
-4.046 0.000 9.929
-2.023 1.168 3.310
2.023 1.168 3.310
0.000 0.000 9.929
0.000 0.000 4.942
-2.000 -1.155 11.539
0.000 -2.309 8.319
-2.000 1.155 8.319
2.000 -1.155 11.539
0.000 2.309 11.539
2.000 1.155 8.319
0.000 0.000 14.916


No. 4
TbHoSc2Se6 | the Alexandria database | PBE | optimized geometry; ΔE_f (raw) = -168.9 kJ per mole of atoms
1.0
3.501 2.021 6.286
-3.501 2.021 6.286
0.000 -4.043 6.286
Tb Ho Sc Se
1 1 2 6
Cartesian
0.000 0.000 0.000
0.000 0.000 9.452
0.000 0.000 3.665
0.000 0.000 13.106
-2.555 0.078 8.237
-0.918 -1.941 11.375
1.210 -2.252 8.237
-1.221 1.766 11.375
1.345 2.174 8.237
2.140 0.175 11.375


No. 5
Tb2HoSc3Se6 | the Alexandria database | PBE | optimized geometry; ΔE_f (raw) = -161.1 kJ per mole of atoms
1.0
3.431 -5.973 0.000
3.431 5.973 0.000
-2.293 0.000 6.526
Tb Ho Sc Se
2 1 3 6
Cartesian
3.431 3.977 0.000
3.431 -3.977 0.000
3.431 0.000 0.000
-1.147 0.000 3.263
2.285 2.023 3.263
2.285 -2.023 3.263
0.005 1.973 4.793
1.161 0.000 1.741
0.005 -1.973 4.793
4.564 1.973 1.732
3.408 0.000 4.784
4.564 -1.973 1.732


No. 6
Tb3Ho2ScSe6 | the Alexandria database | PBE | optimized geometry; ΔE_f (raw) = -166.0 kJ per mole of atoms
1.0
8.821 -2.019 0.000
8.821 2.019 0.000
-1.909 0.000 7.902
Tb Ho Sc Se
3 2 1 6
Cartesian
0.000 0.000 0.000
4.567 0.000 5.253
11.165 0.000 2.649
5.568 0.000 1.327
10.164 0.000 6.576
-0.955 0.000 3.951
1.732 0.000 4.607
2.799 0.000 0.640
7.401 0.000 5.838
8.331 0.000 2.064
12.933 0.000 7.262
14.001 0.000 3.296


No. 7
Tb3HoSc2Se6 | the Alexandria database | PBE | optimized geometry; ΔE_f (raw) = -163.9 kJ per mole of atoms
1.0
3.462 -6.027 0.000
3.462 6.027 0.000
-2.319 0.000 6.594
Tb Ho Sc Se
3 1 2 6
Cartesian
0.000 0.000 0.000
3.462 1.952 0.000
3.462 -1.952 0.000
2.303 0.000 3.297
2.303 4.023 3.297
2.303 -4.023 3.297
1.123 2.060 1.722
-0.067 0.000 4.842
1.123 -2.060 1.722
3.482 2.060 4.871
4.673 0.000 1.751
3.482 -2.060 4.871


No. 8
Tb2HoScSe6 | the Alexandria database | PBE | optimized geometry; ΔE_f (raw) = -173.6 kJ per mole of atoms
1.0
3.556 2.053 6.397
-3.556 2.053 6.397
0.000 -4.107 6.397
Tb Ho Sc Se
2 1 1 6
Cartesian
0.000 0.000 0.000
0.000 0.000 9.556
0.000 0.000 3.752
0.000 0.000 13.297
-1.231 -2.259 8.297
-2.131 0.067 11.543
-1.341 2.196 8.297
1.008 -1.879 11.543
2.572 0.063 8.297
1.123 1.812 11.543


No. 9
Tb2HoScSe5 | the Alexandria database | PBE | optimized geometry; ΔE_f (raw) = -104.9 kJ per mole of atoms
1.0
5.115 0.000 0.000
0.000 5.115 0.000
0.000 0.000 10.267
Tb Ho Sc Se
2 1 1 5
Cartesian
0.000 0.000 2.076
0.000 0.000 8.191
2.557 2.557 0.000
2.557 2.557 5.134
0.000 0.000 5.134
0.000 2.557 0.000
2.557 0.000 0.000
2.557 2.557 2.688
2.557 2.557 7.579


No. 10
Ho3Th4ScSe8 | the Alexandria database | PBE | optimized geometry; ΔE_f (raw) = -155.5 kJ per mole of atoms
1.0
3.996 2.307 7.095
-3.996 2.307 7.095
0.000 -4.614 7.095
Ho Th Sc Se
3 4 1 8
Cartesian
-1.998 -1.154 7.095
-1.998 1.154 14.191
0.000 2.307 7.095
-3.996 0.000 10.643
-1.998 1.154 3.548
1.998 1.154 3.548
0.000 0.000 10.643
0.000 0.000 0.000
0.000 -2.352 8.710
-2.037 1.176 8.710
-2.037 -1.176 12.576
0.000 0.000 5.452
0.000 0.000 15.834
2.037 1.176 8.710
2.037 -1.176 12.576
0.000 2.352 12.576


No. 11
Ho3Th3ScSe8 | the Alexandria database | PBE | optimized geometry; ΔE_f (raw) = -162.0 kJ per mole of atoms
1.0
4.073 2.352 6.785
-4.073 2.352 6.785
0.000 -4.703 6.785
Ho Th Sc Se
3 3 1 8
Cartesian
-2.037 -1.176 6.785
-2.037 1.176 13.569
0.000 2.352 6.785
-4.073 0.000 10.177
-2.037 1.176 3.392
2.037 1.176 3.392
0.000 0.000 0.000
0.000 -2.355 8.379
-2.040 1.178 8.379
-2.040 -1.178 11.975
0.000 0.000 5.205
0.000 0.000 15.149
2.040 1.178 8.379
2.040 -1.178 11.975
0.000 2.355 11.975


No. 12
Ho3ScTl3Se8 | the Alexandria database | PBE | optimized geometry; ΔE_f (raw) = -131.5 kJ per mole of atoms
1.0
4.102 2.368 7.669
-4.102 2.368 7.669
0.000 -4.736 7.669
Ho Sc Tl Se
3 1 3 8
Cartesian
-2.051 -1.184 7.669
-2.051 1.184 15.338
0.000 2.368 7.669
0.000 0.000 0.000
-4.102 0.000 11.504
-2.051 1.184 3.835
2.051 1.184 3.835
0.000 -2.448 9.208
-2.120 1.224 9.208
-2.120 -1.224 13.799
0.000 0.000 6.077
0.000 0.000 16.930
2.120 1.224 9.208
2.120 -1.224 13.799
0.000 2.448 13.799


Looking at theoretical density for the records above, in order, we have 7.1 7.9 7.3 5.5 6.8 7.8 7.3 5.9 5.7 8.9 8.0 6.6 g cm⁻³.